Record 1
Material: Sc2TeRu
Method: DFT, GGA-PBE
State: relaxed

As for the theoretical density: 5.879 Mg/m³. Its formation energy (no corrections) is -0.533 eV/atom. The value obtained for the energy is -6.803 eV/atom. As for the space group: P4mm (99).

Cell: 3.873 3.873 5.998 Å, 90.00 90.00 90.00°
Positions (direct):
Ru 0.500 0.500 0.865
Sc 0.000 0.000 0.932
Sc 0.500 0.500 0.263
Te 0.000 0.000 0.440

***

Record 2
Material: ScTe2Ru
Method: DFT, GGA-PBE
State: relaxed

As for the theoretical density: 7.662 Mg/m³. Its formation energy (no corrections) is 0.156 eV/atom. The energy above the lowest structure with this stoichiometry comes out at 0.6234 eV per atom. The value obtained for the energy is -5.317 eV/atom. As for the space group: F-43m (216).

Cell: 4.973 4.973 4.973 Å, 60.00 60.00 60.00°
Site moments in Bohr magnetons follow the coordinates.
Positions (direct):
Ru 0.500 0.500 0.500  0.89
Sc 0.750 0.750 0.750  0.02
Te 0.000 0.000 0.000  0.09
Te 0.250 0.250 0.250  0.03

***

Record 3
Material: Sc3TeRu
Method: DFT, GGA-PBE
State: relaxed

As for the theoretical density: 4.831 Mg/m³. Its formation energy (no corrections) is -0.323 eV/atom. The energy above the lowest structure with this stoichiometry comes out at 0.0000 eV per atom. The value obtained for the energy is -6.605 eV/atom. As for the space group: Pm-3m (221).

Cell: 4.999 4.999 4.999 Å, 90.00 90.00 90.00°
Positions (direct):
Sc 0.000 0.500 0.000
Sc 0.000 0.000 0.500
Sc 0.500 0.000 0.000
Ru 0.000 0.000 0.000
Te 0.500 0.500 0.500

***

Record 4
Material: ScTe2Ru
Method: DFT, GGA-PBE
State: relaxed

As for the theoretical density: 7.582 Mg/m³. Its formation energy (no corrections) is -0.421 eV/atom. The energy above the lowest structure with this stoichiometry comes out at 0.0464 eV per atom. The value obtained for the energy is -5.894 eV/atom. As for the space group: Pmm2 (25).

Cell: 5.290 3.801 4.371 Å, 90.00 90.00 90.00°
Positions (direct):
Ru 0.000 0.375 0.495
Sc 0.500 0.875 0.761
Te 0.000 0.875 0.959
Te 0.500 0.375 0.285

***

Record 5
Material: ScTe2Ru
Method: DFT, GGA-PBE
State: relaxed

As for the theoretical density: 7.104 Mg/m³. Its formation energy (no corrections) is -0.182 eV/atom. The energy above the lowest structure with this stoichiometry comes out at 0.2854 eV per atom. The value obtained for the energy is -5.655 eV/atom. As for the space group: P2/m (10).

Cell: 4.172 4.803 4.789 Å, 77.79 90.00 90.00°
Positions (direct):
Ru 0.500 0.250 0.250
Sc 0.500 0.750 0.750
Te 0.000 0.033 0.033
Te 0.000 0.467 0.467

***

Record 6
Material: Sc2TeRu
Method: DFT, GGA-PBE
State: relaxed

As for the theoretical density: 6.123 Mg/m³. Its formation energy (no corrections) is -0.325 eV/atom. The value obtained for the energy is -6.596 eV/atom. As for the space group: I-42d (122).

Cell: 7.494 7.494 6.127 Å, 52.30 52.30 90.00°
Positions (direct):
Sc 0.574 0.125 0.250
Sc 0.176 0.625 0.250
Sc 0.375 0.426 0.750
Sc 0.875 0.824 0.750
Ru 0.500 0.500 0.000
Ru 0.250 0.750 0.500
Te 0.000 0.000 0.000
Te 0.750 0.250 0.500

***

> Among the records above, which one has the lowest theoretical density?

Sc3TeRu

***

> Look up the theoretical density of the fourth one.

7.582 Mg/m³

***

> The highest energy belongs to which entry?

number 2